P.
VASP calculation (PBE) on an optimized crystal structure of CaTa3H.

Unit cell a=4.3756 b=4.3756 c=4.3756 alpha=90.00 beta=90.00 gamma=90.00
Atoms (fractional coordinates):
H (0.0000, 0.0000, 0.0000)
Ca (0.5000, 0.5000, 0.5000)
Ta (0.0000, 0.5000, 0.0000)
Ta (0.0000, 0.0000, 0.5000)
Ta (0.5000, 0.0000, 0.0000)

Output
ρ in Mg/m³: 11.57
SG: No. 221

Q.
VASP calculation (PBE) on an optimized crystal structure of CaTa3H.

Unit cell a=4.7788 b=4.7788 c=4.7788 alpha=90.00 beta=90.00 gamma=90.00
Atoms (fractional coordinates):
H (0.5000, 0.5000, 0.5000)
Ca (0.0000, 0.0000, 0.0000)
Ta (0.0000, 0.5000, 0.0000)
Ta (0.0000, 0.0000, 0.5000)
Ta (0.5000, 0.0000, 0.0000)

Output
ρ in Mg/m³: 8.88
SG: No. 221

Relative energies with respect to the most stable structure, expressed in meV/atom: P 0; Q 2763.

P.
VASP calculation (PBE) on an optimized crystal structure of Ca2TaH.

Unit cell a=5.2551 b=5.2551 c=5.2551 alpha=60.00 beta=60.00 gamma=60.00
Last column: magnetic moment on the atom in μB.
Atoms (fractional coordinates):
H (0.0000, 0.0000, 0.0000)  -0.04
Ca (0.2500, 0.2500, 0.2500)  0.14
Ca (0.7500, 0.7500, 0.7500)  0.14
Ta (0.5000, 0.5000, 0.5000)  2.11

Output
ρ in Mg/m³: 4.24
SG: No. 225

Q.
VASP calculation (PBE) on an optimized crystal structure of Ca2TaH.

Unit cell a=6.7559 b=6.7559 c=6.1125 alpha=56.45 beta=56.45 gamma=90.00
Atoms (fractional coordinates):
H (0.5000, 0.5000, 0.0000)
H (0.2500, 0.7500, 0.5000)
Ca (0.4997, 0.1250, 0.2500)
Ca (0.2503, 0.6250, 0.2500)
Ca (0.3750, 0.5003, 0.7500)
Ca (0.8750, 0.7497, 0.7500)
Ta (0.0000, 0.0000, 0.0000)
Ta (0.7500, 0.2500, 0.5000)

Output
ρ in Mg/m³: 5.00
SG: No. 122

Relative energies with respect to the most stable structure, expressed in meV/atom: P 498; Q 0.

P.
VASP calculation (PBE) on an optimized crystal structure of CaTaH3.

Unit cell a=3.8082 b=3.8082 c=3.8082 alpha=90.00 beta=90.00 gamma=90.00
Atoms (fractional coordinates):
H (0.0000, 0.5000, 0.0000)
H (0.0000, 0.0000, 0.5000)
H (0.5000, 0.0000, 0.0000)
Ca (0.5000, 0.5000, 0.5000)
Ta (0.0000, 0.0000, 0.0000)

Output
ρ in Mg/m³: 6.74
SG: No. 221

Q.
VASP calculation (PBE) on an optimized crystal structure of CaTaH3.

Unit cell a=3.8072 b=3.8072 c=3.8072 alpha=90.00 beta=90.00 gamma=90.00
Atoms (fractional coordinates):
H (0.0000, 0.5000, 0.0000)
H (0.0000, 0.0000, 0.5000)
H (0.5000, 0.0000, 0.0000)
Ca (0.0000, 0.0000, 0.0000)
Ta (0.5000, 0.5000, 0.5000)

Output
ρ in Mg/m³: 6.74
SG: No. 221

Relative energies with respect to the most stable structure, expressed in meV/atom: P 0; Q 880.

P.
VASP calculation (PBE) on an optimized crystal structure of Ca2TcH.

Unit cell a=6.8103 b=6.8103 c=6.0113 alpha=55.50 beta=55.50 gamma=90.00
Last column: magnetic moment on the atom in μB.
Atoms (fractional coordinates):
H (0.5000, 0.5000, 0.0000)  0.00
H (0.2500, 0.7500, 0.5000)  0.00
Ca (0.5331, 0.1250, 0.2500)  -0.04
Ca (0.2169, 0.6250, 0.2500)  -0.04
Ca (0.3750, 0.4669, 0.7500)  -0.04
Ca (0.8750, 0.7831, 0.7500)  -0.04
Tc (0.0000, 0.0000, 0.0000)  2.16
Tc (0.7500, 0.2500, 0.5000)  2.16

Output
ρ in Mg/m³: 3.57
SG: No. 122

Q.
VASP calculation (PBE) on an optimized crystal structure of Ca2TcH.

Unit cell a=4.9915 b=4.9915 c=4.9915 alpha=60.00 beta=60.00 gamma=60.00
Last column: magnetic moment on the atom in μB.
Atoms (fractional coordinates):
H (0.0000, 0.0000, 0.0000)  0.03
Ca (0.2500, 0.2500, 0.2500)  -0.02
Ca (0.7500, 0.7500, 0.7500)  -0.02
Tc (0.5000, 0.5000, 0.5000)  1.73

Output
ρ in Mg/m³: 3.38
SG: No. 225

Relative energies with respect to the most stable structure, expressed in meV/atom: P 0; Q 311.

P.
VASP calculation (PBE) on an optimized crystal structure of CaTcH2.

Unit cell a=5.1626 b=5.1626 c=5.0790 alpha=59.45 beta=59.45 gamma=90.00
Atoms (fractional coordinates):
H (0.7009, 0.1250, 0.2500)
H (0.0491, 0.6250, 0.2500)
H (0.3750, 0.2991, 0.7500)
H (0.8750, 0.9509, 0.7500)
Ca (0.5000, 0.5000, 0.0000)
Ca (0.2500, 0.7500, 0.5000)
Tc (0.0000, 0.0000, 0.0000)
Tc (0.7500, 0.2500, 0.5000)

Output
ρ in Mg/m³: 4.94
SG: No. 122

Q.
VASP calculation (PBE) on an optimized crystal structure of CaTcH2.

Unit cell a=4.0359 b=4.0359 c=4.0359 alpha=60.00 beta=60.00 gamma=60.00
Last column: magnetic moment on the atom in μB.
Atoms (fractional coordinates):
H (0.2500, 0.2500, 0.2500)  -0.01
H (0.7500, 0.7500, 0.7500)  -0.01
Ca (0.0000, 0.0000, 0.0000)  0.00
Tc (0.5000, 0.5000, 0.5000)  1.03

Output
ρ in Mg/m³: 5.00
SG: No. 225

Relative energies with respect to the most stable structure, expressed in meV/atom: P 0; Q 673.

P.
VASP calculation (PBE) on an optimized crystal structure of CaTe3H.

Unit cell a=5.8913 b=5.8913 c=5.8913 alpha=90.00 beta=90.00 gamma=90.00
Last column: magnetic moment on the atom in μB.
Atoms (fractional coordinates):
H (0.5000, 0.5000, 0.5000)  0.38
Ca (0.0000, 0.0000, 0.0000)  0.00
Te (0.0000, 0.5000, 0.0000)  0.01
Te (0.0000, 0.0000, 0.5000)  0.00
Te (0.5000, 0.0000, 0.0000)  0.01

Output
ρ in Mg/m³: 3.44
SG: No. 221

Q.
VASP calculation (PBE) on an optimized crystal structure of CaTe3H.

Unit cell a=4.9338 b=4.9338 c=4.9338 alpha=90.00 beta=90.00 gamma=90.00
Atoms (fractional coordinates):
H (0.0000, 0.0000, 0.0000)
Ca (0.5000, 0.5000, 0.5000)
Te (0.0000, 0.5000, 0.0000)
Te (0.0000, 0.0000, 0.5000)
Te (0.5000, 0.0000, 0.0000)

Output
ρ in Mg/m³: 5.86
SG: No. 221

Relative energies with respect to the most stable structure, expressed in meV/atom: P 553; Q 0.

P.
VASP calculation (PBE) on an optimized crystal structure of CaTeH3.

Unit cell a=4.2779 b=4.2779 c=4.2779 alpha=90.00 beta=90.00 gamma=90.00
Atoms (fractional coordinates):
H (0.0000, 0.5000, 0.0000)
H (0.0000, 0.0000, 0.5000)
H (0.5000, 0.0000, 0.0000)
Ca (0.5000, 0.5000, 0.5000)
Te (0.0000, 0.0000, 0.0000)

Output
ρ in Mg/m³: 3.62
SG: No. 221

Q.
VASP calculation (PBE) on an optimized crystal structure of CaTeH3.

Unit cell a=4.1277 b=4.1277 c=4.1277 alpha=90.00 beta=90.00 gamma=90.00
Atoms (fractional coordinates):
H (0.0000, 0.5000, 0.0000)
H (0.0000, 0.0000, 0.5000)
H (0.5000, 0.0000, 0.0000)
Ca (0.0000, 0.0000, 0.0000)
Te (0.5000, 0.5000, 0.5000)

Output
ρ in Mg/m³: 4.03
SG: No. 221

Relative energies with respect to the most stable structure, expressed in meV/atom: P 129; Q 0.

P.
VASP calculation (PBE) on an optimized crystal structure of Ca2TeH.

Unit cell a=7.2513 b=7.2513 c=6.3257 alpha=55.03 beta=55.03 gamma=90.00
Last column: magnetic moment on the atom in μB.
Atoms (fractional coordinates):
H (0.5000, 0.5000, 0.0000)  -0.01
H (0.2500, 0.7500, 0.5000)  -0.01
Ca (0.5386, 0.1250, 0.2500)  0.14
Ca (0.2114, 0.6250, 0.2500)  0.15
Ca (0.3750, 0.4614, 0.7500)  0.11
Ca (0.8750, 0.7886, 0.7500)  0.16
Te (0.0000, 0.0000, 0.0000)  0.00
Te (0.7500, 0.2500, 0.5000)  0.00

Output
ρ in Mg/m³: 3.56
SG: No. 122

Q.
VASP calculation (PBE) on an optimized crystal structure of Ca2TeH.

Unit cell a=4.2434 b=4.2434 c=7.0206 alpha=72.41 beta=72.41 gamma=60.00
Atoms (fractional coordinates):
H (0.0000, 0.0000, 0.0000)
Ca (0.2626, 0.2626, 0.2122)
Ca (0.7374, 0.7374, 0.7878)
Te (0.5000, 0.5000, 0.5000)

Output
ρ in Mg/m³: 3.38
SG: No. 166

R.
VASP calculation (PBE) on an optimized crystal structure of Ca2TeH.

Unit cell a=5.1944 b=5.1944 c=5.1944 alpha=60.00 beta=60.00 gamma=60.00
Last column: magnetic moment on the atom in μB.
Atoms (fractional coordinates):
H (0.0000, 0.0000, 0.0000)  -0.01
Ca (0.2500, 0.2500, 0.2500)  0.18
Ca (0.7500, 0.7500, 0.7500)  0.18
Te (0.5000, 0.5000, 0.5000)  0.00

Output
ρ in Mg/m³: 3.50
SG: No. 225

Relative energies with respect to the most stable structure, expressed in meV/atom: P 0; Q 51; R 293.

P.
VASP calculation (PBE) on an optimized crystal structure of CaTeH2.

Unit cell a=4.3792 b=4.3792 c=7.9814 alpha=74.08 beta=74.08 gamma=90.00
Atoms (fractional coordinates):
H (0.6376, 0.1250, 0.2500)
H (0.1124, 0.6250, 0.2500)
H (0.3750, 0.3624, 0.7500)
H (0.8750, 0.8876, 0.7500)
Ca (0.5000, 0.5000, 0.0000)
Ca (0.2500, 0.7500, 0.5000)
Te (0.0000, 0.0000, 0.0000)
Te (0.7500, 0.2500, 0.5000)

Output
ρ in Mg/m³: 3.99
SG: No. 122

Q.
VASP calculation (PBE) on an optimized crystal structure of CaTeH2.

Unit cell a=4.4548 b=4.4548 c=4.4548 alpha=60.00 beta=60.00 gamma=60.00
Atoms (fractional coordinates):
H (0.2500, 0.2500, 0.2500)
H (0.7500, 0.7500, 0.7500)
Ca (0.0000, 0.0000, 0.0000)
Te (0.5000, 0.5000, 0.5000)

Output
ρ in Mg/m³: 4.51
SG: No. 225

R.
VASP calculation (PBE) on an optimized crystal structure of CaTeH2.

Unit cell a=8.7348 b=8.0981 c=4.8017 alpha=90.00 beta=112.42 gamma=90.00
Atoms (fractional coordinates):
Ca (0.4589, 0.7236, 0.8383)
Ca (0.0412, 0.2236, 0.1617)
Ca (0.5411, 0.2764, 0.1617)
Ca (0.9588, 0.7764, 0.8383)
Te (0.7703, 0.9638, 0.1850)
Te (0.7297, 0.4638, 0.8150)
Te (0.2297, 0.0362, 0.8150)
Te (0.2703, 0.5362, 0.1850)
H (0.5454, 0.1448, 0.6043)
H (0.9546, 0.6448, 0.3957)
H (0.0469, 0.6304, 0.4914)
H (0.4531, 0.1304, 0.5086)
H (0.4546, 0.8552, 0.3957)
H (0.0454, 0.3552, 0.6043)
H (0.9531, 0.3696, 0.5086)
H (0.5469, 0.8696, 0.4914)

Output
ρ in Mg/m³: 3.59
SG: No. 14

Relative energies with respect to the most stable structure, expressed in meV/atom: P 608; Q 588; R 0.

P.
VASP calculation (PBE) on an optimized crystal structure of CaThH.

Unit cell a=3.5518 b=5.8853 c=9.2214 alpha=131.51 beta=90.01 gamma=90.00
Atoms (fractional coordinates):
H (0.2493, 0.7501, 0.0996)
H (0.7507, 0.2499, 0.9004)
Ca (0.7494, 0.6515, 0.9138)
Ca (0.2506, 0.3485, 0.0862)
Th (0.2497, 0.1755, 0.4257)
Th (0.7503, 0.8245, 0.5743)

Output
ρ in Mg/m³: 6.28
SG: No. 11

Q.
VASP calculation (PBE) on an optimized crystal structure of CaThH.

Unit cell a=3.6073 b=3.6073 c=6.2479 alpha=90.00 beta=90.00 gamma=120.00
Last column: magnetic moment on the atom in μB.
Atoms (fractional coordinates):
H (0.3333, 0.6667, 0.6553)  0.00
Ca (0.0000, 0.0000, 0.9158)  0.03
Th (0.6667, 0.3333, 0.4289)  0.13

Output
ρ in Mg/m³: 6.44
SG: No. 156

Relative energies with respect to the most stable structure, expressed in meV/atom: P 0; Q 89.

P.
VASP calculation (PBE) on an optimized crystal structure of Ca3TlH.

Unit cell a=4.9894 b=4.9894 c=4.9894 alpha=90.00 beta=90.00 gamma=90.00
Atoms (fractional coordinates):
H (0.0000, 0.0000, 0.0000)
Tl (0.5000, 0.5000, 0.5000)
Ca (0.0000, 0.5000, 0.0000)
Ca (0.0000, 0.0000, 0.5000)
Ca (0.5000, 0.0000, 0.0000)

Output
ρ in Mg/m³: 4.35
SG: No. 221

Q.
VASP calculation (PBE) on an optimized crystal structure of Ca3TlH.

Unit cell a=3.8208 b=7.5614 c=10.0077 alpha=90.00 beta=90.00 gamma=104.65
Atoms (fractional coordinates):
Ca (0.8619, 0.2231, 0.0634)
Ca (0.1381, 0.7769, 0.9366)
Ca (0.8619, 0.2231, 0.4366)
Ca (0.1381, 0.7769, 0.5634)
Ca (0.5405, 0.5806, 0.2500)
Ca (0.4595, 0.4194, 0.7500)
Tl (0.2251, 0.9496, 0.2500)
Tl (0.7749, 0.0504, 0.7500)
H (0.9547, 0.4093, 0.2500)
H (0.0453, 0.5907, 0.7500)

Output
ρ in Mg/m³: 3.87
SG: No. 63

Relative energies with respect to the most stable structure, expressed in meV/atom: P 7; Q 0.

P.
VASP calculation (PBE) on an optimized crystal structure of Ca5Tl2H2.

Unit cell a=5.4921 b=6.7735 c=6.7377 alpha=97.27 beta=90.00 gamma=113.92
Atoms (fractional coordinates):
Ca (0.3279, 0.6557, 0.1074)
Ca (0.6721, 0.3443, 0.8926)
Ca (0.1521, 0.3043, 0.5464)
Ca (0.8479, 0.6957, 0.4536)
Ca (0.0000, 0.0000, 0.0000)
Tl (0.4208, 0.8415, 0.6804)
Tl (0.5792, 0.1585, 0.3196)
H (0.1670, 0.3340, 0.8908)
H (0.8330, 0.6660, 0.1092)

Output
ρ in Mg/m³: 4.47
SG: No. 12

Q.
VASP calculation (PBE) on an optimized crystal structure of Ca5Tl2H2.

Unit cell a=6.6179 b=6.5824 c=11.9626 alpha=105.97 beta=106.06 gamma=90.00
Atoms (fractional coordinates):
Ca (0.7523, 0.7386, 0.0043)
Ca (0.2477, 0.7343, 0.9957)
Ca (0.7520, 0.2386, 0.0043)
Ca (0.2480, 0.2343, 0.9957)
Ca (0.8292, 0.8287, 0.7058)
Ca (0.1708, 0.1228, 0.2942)
Ca (0.3767, 0.3287, 0.7058)
Ca (0.6233, 0.6228, 0.2942)
Ca (0.8311, 0.1569, 0.5000)
Ca (0.1689, 0.6569, 0.5000)
Tl (0.8947, 0.3764, 0.7794)
Tl (0.1053, 0.5970, 0.2206)
Tl (0.3848, 0.8764, 0.7794)
Tl (0.6152, 0.0970, 0.2206)
H (0.0000, 0.9865, 0.0000)
H (0.5000, 0.4865, 0.0000)
H (0.8383, 0.7948, 0.5000)
H (0.1617, 0.2948, 0.5000)

Output
ρ in Mg/m³: 4.23
SG: No. 46

Relative energies with respect to the most stable structure, expressed in meV/atom: P 0; Q 12.